Record 1
Here is AgHg2 after structural relaxation from Alexandria via LeMat-Bulk. Energies are from PBE.

a = 8.104 Å, b = 8.104 Å, c = 3.569 Å
α = 90.00°, β = 90.00°, γ = 120.00°
Fractional positions:
Ag 0.000 0.000 0.500
Ag 0.333 0.667 0.000
Ag 0.667 0.333 0.000
Hg 0.000 0.283 0.000
Hg 0.000 0.612 0.500
Hg 0.283 0.000 0.000
Hg 0.717 0.717 0.000
Hg 0.612 0.000 0.500
Hg 0.388 0.388 0.500

Properties
Space group: P-62m (189)
Calculated formation energy (meV per atom): 100
Total energy (eV/atom): -1.05
Total moment (μB/f.u.): 0.00


Record 2
Here is Ta2Mo3 after structural relaxation from Alexandria via LeMat-Bulk. Energies are from PBE.

a = 10.716 Å, b = 10.716 Å, c = 10.716 Å
α = 16.43°, β = 16.43°, γ = 16.43°
Fractional positions:
Ta 0.601 0.601 0.601
Ta 0.399 0.399 0.399
Mo 0.000 0.000 0.000
Mo 0.802 0.802 0.802
Mo 0.198 0.198 0.198

Properties
Space group: R-3m (166)
Calculated formation energy (meV per atom): 210
Total energy (eV/atom): -11.03
Total moment (μB/f.u.): 0.00


Record 3
Here is SiSbNO2 after structural relaxation from Alexandria via LeMat-Bulk. Energies are from PBE.

a = 3.590 Å, b = 3.590 Å, c = 3.882 Å
α = 90.00°, β = 90.00°, γ = 90.00°
Fractional positions:
Sb 0.500 0.500 0.500
Si 0.000 0.000 0.000
O 0.000 0.500 0.000
O 0.500 0.000 0.000
N 0.000 0.000 0.500

Properties
Space group: P4/mmm (123)
Total energy (eV/atom): -6.53
Total moment (μB/f.u.): 0.00


- total moment of number 3 (SiSbNO2)?
  0.00 μB/f.u.